# 1
Entry from Alexandria: SrNdMg2 after structural relaxation (PBE-GGA).

As for the crystal system: cubic. As for the formation energy: -0.04 eV per atom.

It has space group Fm-3m (No. 225), with a = 8.052 Å, b = 8.052 Å, c = 8.052 Å, α = 90.00°, β = 90.00° and γ = 90.00°. The inequivalent atoms are Sr at (0.000, 0.000, 0.000), Nd at (0.000, 0.000, 0.500) and Mg at (0.250, 0.250, 0.250).


# 2
Entry from Alexandria: TlInGaHg2 after structural relaxation (PBE-GGA).

As for the crystal system: tetragonal. As for the formation energy: 0.14 eV per atom.

It has space group P4/mmm (No. 123), with a = 5.250 Å, b = 5.250 Å, c = 5.586 Å, α = 90.00°, β = 90.00° and γ = 90.00°. The inequivalent atoms are Tl at (0.000, 0.000, 0.000), In at (0.500, 0.500, 0.000), Ga at (0.500, 0.500, 0.500) and Hg at (0.000, 0.500, 0.500).


# 3
Entry from Alexandria: TbPrPdRh after structural relaxation (PBE-GGA).

As for the crystal system: orthorhombic. As for the formation energy: -0.79 eV per atom.

It has space group Amm2 (No. 38), with a = 4.500 Å, b = 3.819 Å, c = 10.760 Å, α = 90.00°, β = 90.00° and γ = 90.00°. The inequivalent atoms are Tb at (0.000, 0.000, 0.000), Pr at (0.500, 0.000, 0.278), Pd at (0.000, 0.000, 0.717) and Rh at (0.500, 0.000, 0.544).


# 4
Entry from Alexandria: BaNi4Ru after structural relaxation (PBE-GGA).

As for the crystal system: cubic. As for the formation energy: 0.51 eV per atom.

It has space group F-43m (No. 216), with a = 7.168 Å, b = 7.168 Å, c = 7.168 Å, α = 90.00°, β = 90.00° and γ = 90.00°. The inequivalent atoms are Ba at (0.000, 0.000, 0.000), Ni at (0.123, 0.123, 0.623) and Ru at (0.250, 0.250, 0.250).


# 5
Entry from Alexandria: CaPt2 after structural relaxation (PBE-GGA).

As for the crystal system: orthorhombic. As for the formation energy: -0.51 eV per atom.

It has space group Immm (No. 71), with a = 2.912 Å, b = 4.195 Å, c = 9.419 Å, α = 90.00°, β = 90.00° and γ = 90.00°. The inequivalent atoms are Ca at (0.000, 0.000, 0.000) and Pt at (0.000, 0.000, 0.307).


# 6
Entry from Alexandria: CuIr2Cl after structural relaxation (PBE-GGA).

As for the crystal system: cubic. The value obtained for the formation energy without anion corrections is 3.679 eV/f.u.

It has space group F-43m (No. 216), with a = 6.219 Å, b = 6.219 Å, c = 6.219 Å, α = 90.00°, β = 90.00° and γ = 90.00°. The inequivalent atoms are Cu at (0.000, 0.000, 0.000), Ir at (0.000, 0.000, 0.500), Ir at (0.250, 0.250, 0.250) and Cl at (0.250, 0.250, 0.750).


# 7
Entry from Alexandria: Ca2IrBr after structural relaxation (PBE-GGA).

As for the crystal system: tetragonal. The value obtained for the formation energy without anion corrections is -2.106 eV/f.u.

It has space group I-42d (No. 122), with a = 7.428 Å, b = 7.428 Å, c = 8.494 Å, α = 90.00°, β = 90.00° and γ = 90.00°. The inequivalent atoms are Ca at (0.220, 0.750, 0.125), Ir at (0.000, 0.000, 0.000) and Br at (0.000, 0.000, 0.500).


# 8
Entry from Alexandria: Tl2Cd2Hg2Pb after structural relaxation (PBE-GGA).

As for the crystal system: trigonal. As for the formation energy: 0.05 eV per atom.

It has space group R-3m (No. 166, hexagonal axes), with a = 5.0090 Å, b = 5.0090 Å, c = 27.1784 Å, α = 90.00°, β = 90.00° and γ = 120.00°. The inequivalent atoms are Tl at (0.0000, 0.0000, 0.1364), Cd at (0.0000, 0.0000, 0.4136), Hg at (0.0000, 0.0000, 0.2767) and Pb at (0.0000, 0.0000, 0.0000).


# 9
Entry from Alexandria: Pm3MgHg2 after structural relaxation (PBE-GGA).

As for the crystal system: orthorhombic. As for the formation energy: -0.36 eV per atom.

It has space group Cmmm (No. 65), with a = 5.347 Å, b = 16.381 Å, c = 3.823 Å, α = 90.00°, β = 90.00° and γ = 90.00°. The inequivalent atoms are Pm at (0.000, 0.000, 0.000), Pm at (0.000, 0.330, 0.000), Mg at (0.000, 0.500, 0.500) and Hg at (0.000, 0.156, 0.500).


# 10
Entry from Alexandria: Cr2HgOs after structural relaxation (PBE-GGA).

As for the crystal system: orthorhombic. As for the formation energy: 0.41 eV per atom.

It has space group Pmmm (No. 47), with a = 2.831 Å, b = 3.761 Å, c = 5.635 Å, α = 90.00°, β = 90.00° and γ = 90.00°. The inequivalent atoms are Cr at (0.000, 0.000, 0.193), Hg at (0.500, 0.500, 0.500) and Os at (0.500, 0.500, 0.000).


# 11
Entry from Alexandria: GdScTi after structural relaxation (PBE-GGA).

As for the crystal system: hexagonal. As for the formation energy: 0.18 eV per atom.

It has space group P-6m2 (No. 187), with a = 5.1099 Å, b = 5.1099 Å, c = 3.2021 Å, α = 90.00°, β = 90.00° and γ = 120.00°. The inequivalent atoms are Gd at (0.0000, 0.0000, 0.0000), Sc at (0.3333, 0.6667, 0.5000) and Ti at (0.6667, 0.3333, 0.5000).


# 12
Entry from Alexandria: La2CrSi after structural relaxation (PBE-GGA).

As for the crystal system: orthorhombic. The value obtained for the formation energy without anion corrections is -0.437 eV/f.u.

It has space group Imm2 (No. 44), with a = 3.931 Å, b = 4.730 Å, c = 10.712 Å, α = 90.00°, β = 90.00° and γ = 90.00°. The inequivalent atoms are La at (0.000, 0.000, 0.000), La at (0.000, 0.500, 0.215), Cr at (0.000, 0.000, 0.434) and Si at (0.000, 0.500, 0.786).


# 13
Entry from Alexandria: Lu2CdGa after structural relaxation (PBE-GGA).

As for the crystal system: tetragonal. As for the formation energy: -0.43 eV per atom.

It has space group P4/mmm (No. 123), with a = 3.561 Å, b = 3.561 Å, c = 7.256 Å, α = 90.00°, β = 90.00° and γ = 90.00°. The inequivalent atoms are Lu at (0.000, 0.000, 0.235), Cd at (0.500, 0.500, 0.500) and Ga at (0.500, 0.500, 0.000).


# 14
Entry from Alexandria: Ca2PmHfSb4 after structural relaxation (PBE-GGA).

As for the crystal system: monoclinic. The value obtained for the formation energy without anion corrections is -6.703 eV/f.u.

It has space group P2/m (No. 10), with a = 7.562 Å, b = 4.336 Å, c = 7.814 Å, α = 90.00°, β = 108.54° and γ = 90.00°. The inequivalent atoms are Ca at (0.000, 0.000, 0.000), Ca at (0.500, 0.500, 0.000), Pm at (0.000, 0.500, 0.500), Hf at (0.500, 0.000, 0.500), Sb at (0.263, 0.000, 0.737) and Sb at (0.273, 0.500, 0.272).


# 15
Entry from Alexandria: InHgGe after structural relaxation (PBE-GGA).

As for the crystal system: cubic. As for the formation energy: 0.17 eV per atom.

It has space group F-43m (No. 216), with a = 6.816 Å, b = 6.816 Å, c = 6.816 Å, α = 90.00°, β = 90.00° and γ = 90.00°. The inequivalent atoms are In at (0.000, 0.000, 0.000), Hg at (0.000, 0.000, 0.500) and Ge at (0.250, 0.250, 0.250).


# 16
Entry from Alexandria: Rb4AgHg after structural relaxation (PBE-GGA).

As for the crystal system: orthorhombic. As for the formation energy: -0.04 eV per atom.

It has space group Pnma (No. 62), with a = 10.044 Å, b = 5.422 Å, c = 23.207 Å, α = 90.00°, β = 90.00° and γ = 90.00°. The inequivalent atoms are Rb at (0.008, 0.250, 0.071), Rb at (0.040, 0.250, 0.779), Rb at (0.131, 0.250, 0.350), Rb at (0.140, 0.250, 0.558), Ag at (0.248, 0.750, 0.449) and Hg at (0.241, 0.750, 0.690).


# 17
Entry from Alexandria: Sr2Mg3CdIn4 after structural relaxation (PBE-GGA).

As for the crystal system: tetragonal. As for the formation energy: -0.25 eV per atom.

It has space group P-4m2 (No. 115), with a = 4.771 Å, b = 4.771 Å, c = 12.493 Å, α = 90.00°, β = 90.00° and γ = 90.00°. The inequivalent atoms are Sr at (0.000, 0.500, 0.247), Mg at (0.000, 0.000, 0.000), Mg at (0.000, 0.500, 0.637), Cd at (0.500, 0.500, 0.000), In at (0.000, 0.000, 0.500), In at (0.000, 0.500, 0.862) and In at (0.500, 0.500, 0.500).